{"formula": "Na2DyCrSe4", "functional": "GGA-PBE", "state": "relaxed", "cell": [[-1.1992, -0.2753, 3.7816], [2.5453, -6.3186, 0.3472], [5.2686, 4.7304, 2.0151]], "species": ["Na", "Na", "Dy", "Cr", "Se", "Se", "Se", "Se"], "frac_coords": [[0.5000, 0.0000, 0.5000], [0.0000, 0.5000, 0.5000], [0.0000, 0.0000, 0.0000], [0.5000, 0.5000, 0.0000], [0.5000, 0.2636, 0.2236], [0.5000, 0.7364, 0.7764], [0.0000, 0.2883, 0.7920], [0.0000, 0.7117, 0.2080]], "final_energy_ev_per_atom": -5.05}